Record 1
# SmNpAl PBE optimized geometry
# Raw total energy ... -6.2669 eV per atom
# Spin magnetization ... 4.98 μB per formula unit
data_SmNpAl
_cell_length_a 7.0407
_cell_length_b 7.0407
_cell_length_c 7.0407
_cell_angle_alpha 90.00
_cell_angle_beta 90.00
_cell_angle_gamma 90.00
_space_group_name_H-M_alt 'F -4 3 m'
_space_group_IT_number 216
_space_group_name_Hall 'F -4 2 3'
loop_
_atom_site_label
_atom_site_type_symbol
_atom_site_fract_x
_atom_site_fract_y
_atom_site_fract_z
_atom_site_occupancy
Sm1 Sm 0.0000 0.0000 0.0000 1
Np1 Np 0.2500 0.2500 0.2500 1
Al1 Al 0.2500 0.2500 0.7500 1

***

Record 2
# NpAlSn PBE optimized geometry
# Raw total energy ... -6.6391 eV per atom
# Spin magnetization ... 4.82 μB per formula unit
data_NpAlSn
_cell_length_a 6.7046
_cell_length_b 6.7046
_cell_length_c 6.7046
_cell_angle_alpha 90.00
_cell_angle_beta 90.00
_cell_angle_gamma 90.00
_space_group_name_H-M_alt 'F -4 3 m'
_space_group_IT_number 216
_space_group_name_Hall 'F -4 2 3'
loop_
_atom_site_label
_atom_site_type_symbol
_atom_site_fract_x
_atom_site_fract_y
_atom_site_fract_z
_atom_site_occupancy
Np1 Np 0.0000 0.0000 0.0000 1
Al1 Al 0.2500 0.2500 0.2500 1
Sn1 Sn 0.0000 0.0000 0.5000 1

***

Record 3
# NpTaAl PBE optimized geometry
# Raw total energy ... -8.1242 eV per atom
# Spin magnetization ... 3.53 μB per formula unit
# E above lowest polymorph ... 566 meV/atom
data_NpTaAl
_cell_length_a 6.6030
_cell_length_b 6.6030
_cell_length_c 6.6030
_cell_angle_alpha 90.00
_cell_angle_beta 90.00
_cell_angle_gamma 90.00
_space_group_name_H-M_alt 'F -4 3 m'
_space_group_IT_number 216
_space_group_name_Hall 'F -4 2 3'
loop_
_atom_site_label
_atom_site_type_symbol
_atom_site_fract_x
_atom_site_fract_y
_atom_site_fract_z
_atom_site_occupancy
Np1 Np 0.0000 0.0000 0.0000 1
Ta1 Ta 0.2500 0.2500 0.2500 1
Al1 Al 0.2500 0.2500 0.7500 1

***

Record 4
# NpTaAl PBE optimized geometry
# Raw total energy ... -8.6900 eV per atom
# Spin magnetization ... 4.20 μB per formula unit
# E above lowest polymorph ... 0 meV/atom
data_NpTaAl
_cell_length_a 6.3645
_cell_length_b 6.3645
_cell_length_c 6.3645
_cell_angle_alpha 90.00
_cell_angle_beta 90.00
_cell_angle_gamma 90.00
_space_group_name_H-M_alt 'F -4 3 m'
_space_group_IT_number 216
_space_group_name_Hall 'F -4 2 3'
loop_
_atom_site_label
_atom_site_type_symbol
_atom_site_fract_x
_atom_site_fract_y
_atom_site_fract_z
_atom_site_occupancy
Np1 Np 0.0000 0.0000 0.0000 1
Ta1 Ta 0.0000 0.0000 0.5000 1
Al1 Al 0.2500 0.2500 0.2500 1

***

Record 5
# TbNpAl PBE optimized geometry
# Raw total energy ... -6.5727 eV per atom
# Spin magnetization ... 5.08 μB per formula unit
data_TbNpAl
_cell_length_a 7.0688
_cell_length_b 7.0688
_cell_length_c 7.0688
_cell_angle_alpha 90.00
_cell_angle_beta 90.00
_cell_angle_gamma 90.00
_space_group_name_H-M_alt 'F -4 3 m'
_space_group_IT_number 216
_space_group_name_Hall 'F -4 2 3'
loop_
_atom_site_label
_atom_site_type_symbol
_atom_site_fract_x
_atom_site_fract_y
_atom_site_fract_z
_atom_site_occupancy
Tb1 Tb 0.0000 0.0000 0.0000 1
Np1 Np 0.0000 0.0000 0.5000 1
Al1 Al 0.2500 0.2500 0.7500 1

***

Record 6
# NpAlTe PBE optimized geometry
# Raw total energy ... -6.2926 eV per atom
# Spin magnetization ... 4.95 μB per formula unit
# E above lowest polymorph ... 0 meV/atom
data_NpAlTe
_cell_length_a 6.8848
_cell_length_b 6.8848
_cell_length_c 6.8848
_cell_angle_alpha 90.00
_cell_angle_beta 90.00
_cell_angle_gamma 90.00
_space_group_name_H-M_alt 'F -4 3 m'
_space_group_IT_number 216
_space_group_name_Hall 'F -4 2 3'
loop_
_atom_site_label
_atom_site_type_symbol
_atom_site_fract_x
_atom_site_fract_y
_atom_site_fract_z
_atom_site_occupancy
Np1 Np 0.0000 0.0000 0.0000 1
Al1 Al 0.2500 0.2500 0.2500 1
Te1 Te 0.0000 0.0000 0.5000 1

***

Record 7
# TmNpAl PBE optimized geometry
# Raw total energy ... -6.5213 eV per atom
# Spin magnetization ... 5.09 μB per formula unit
# E above lowest polymorph ... 0 meV/atom
data_TmNpAl
_cell_length_a 7.0145
_cell_length_b 7.0145
_cell_length_c 7.0145
_cell_angle_alpha 90.00
_cell_angle_beta 90.00
_cell_angle_gamma 90.00
_space_group_name_H-M_alt 'F -4 3 m'
_space_group_IT_number 216
_space_group_name_Hall 'F -4 2 3'
loop_
_atom_site_label
_atom_site_type_symbol
_atom_site_fract_x
_atom_site_fract_y
_atom_site_fract_z
_atom_site_occupancy
Tm1 Tm 0.0000 0.0000 0.0000 1
Np1 Np 0.0000 0.0000 0.5000 1
Al1 Al 0.2500 0.2500 0.7500 1

***

Record 8
# NpUAl PBE optimized geometry
# Raw total energy ... -8.5785 eV per atom
# Spin magnetization ... 6.23 μB per formula unit
data_NpUAl
_cell_length_a 6.5466
_cell_length_b 6.5466
_cell_length_c 6.5466
_cell_angle_alpha 90.00
_cell_angle_beta 90.00
_cell_angle_gamma 90.00
_space_group_name_H-M_alt 'F -4 3 m'
_space_group_IT_number 216
_space_group_name_Hall 'F -4 2 3'
loop_
_atom_site_label
_atom_site_type_symbol
_atom_site_fract_x
_atom_site_fract_y
_atom_site_fract_z
_atom_site_occupancy
Np1 Np 0.0000 0.0000 0.0000 1
U1 U 0.2500 0.2500 0.7500 1
Al1 Al 0.0000 0.0000 0.5000 1